No. 1
{"formula": "KAuCl2", "functional": "meta-GGA SCAN", "state": "PBEsol geometry", "lattice_angstrom": [[4.0414, 0.0000, 0.0000], [0.0000, 4.0480, 0.0000], [0.0000, 0.0000, 6.0982]], "species": ["Cl", "Cl", "K", "Au"], "frac_coords": [[0.0000, 0.0000, 0.8765], [0.5000, 0.5000, 0.4233], [0.0000, 0.0000, 0.3643], [0.5000, 0.5000, 0.8358]], "total_energy_ev_per_cell": -97.1, "e_form_raw_mev_per_atom": -905.4, "de_polymorph_mev_per_atom": 274, "m_tot_mub_per_cell": 0.00}

No. 2
{"formula": "Ca3V2Si3O12", "functional": "meta-GGA SCAN", "state": "PBEsol geometry", "lattice_angstrom": [[10.4280, 0.0000, 0.0000], [-3.4760, 9.8317, 0.0000], [-3.4760, -4.9158, 8.5145]], "species": ["O", "O", "O", "O", "O", "O", "O", "O", "O", "O", "O", "O", "O", "O", "O", "O", "O", "O", "O", "O", "O", "O", "O", "O", "O", "O", "O", "O", "O", "O", "O", "O", "O", "O", "O", "O", "O", "O", "O", "O", "O", "O", "O", "O", "O", "O", "O", "O", "V", "V", "V", "V", "V", "V", "V", "V", "Ca", "Ca", "Ca", "Ca", "Ca", "Ca", "Ca", "Ca", "Ca", "Ca", "Ca", "Ca", "Si", "Si", "Si", "Si", "Si", "Si", "Si", "Si", "Si", "Si", "Si", "Si"], "frac_coords": [[0.6936, 0.9907, 0.6060], [0.8847, 0.7971, 0.4907], [0.6060, 0.1153, 0.4124], [0.5093, 0.8064, 0.8940], [0.5876, 0.2029, 0.6936], [0.2971, 0.3847, 0.9907], [0.3847, 0.4907, 0.7971], [0.3940, 0.5093, 0.3064], [0.1936, 0.5876, 0.7029], [0.4907, 0.2971, 0.8847], [0.0093, 0.8940, 0.8064], [0.5876, 0.3847, 0.3940], [0.8064, 0.4124, 0.2971], [0.2971, 0.9124, 0.8064], [0.7971, 0.9907, 0.3847], [0.7029, 0.0876, 0.1936], [0.8940, 0.5876, 0.8847], [0.2029, 0.1936, 0.0876], [0.4907, 0.1936, 0.1060], [0.3940, 0.8847, 0.5876], [0.8940, 0.3064, 0.5093], [0.0876, 0.6936, 0.2029], [0.7971, 0.8064, 0.9124], [0.1153, 0.9124, 0.1060], [0.1936, 0.6060, 0.9907], [0.8847, 0.0876, 0.8940], [0.9907, 0.1060, 0.1936], [0.5093, 0.7029, 0.1153], [0.9124, 0.3064, 0.7971], [0.3847, 0.8940, 0.0876], [0.1060, 0.4124, 0.1153], [0.1060, 0.6936, 0.4907], [0.3064, 0.2971, 0.4124], [0.0093, 0.1153, 0.7029], [0.4124, 0.7971, 0.3064], [0.6153, 0.1060, 0.9124], [0.6936, 0.7029, 0.5876], [0.9907, 0.8847, 0.2971], [0.0876, 0.3940, 0.3847], [0.7029, 0.6153, 0.0093], [0.6153, 0.5093, 0.2029], [0.6060, 0.4907, 0.6936], [0.4124, 0.6153, 0.6060], [0.2029, 0.0093, 0.6153], [0.9124, 0.6060, 0.6153], [0.1153, 0.2029, 0.5093], [0.3064, 0.0093, 0.3940], [0.8064, 0.3940, 0.0093], [0.5000, 0.0000, 0.0000], [0.0000, 0.0000, 0.0000], [0.5000, 0.5000, 0.5000], [0.0000, 0.5000, 0.0000], [0.5000, 0.5000, 0.0000], [0.0000, 0.5000, 0.5000], [0.0000, 0.0000, 0.5000], [0.5000, 0.0000, 0.5000], [0.7500, 0.8750, 0.1250], [0.1250, 0.3750, 0.7500], [0.6250, 0.7500, 0.3750], [0.3750, 0.2500, 0.6250], [0.8750, 0.2500, 0.1250], [0.3750, 0.1250, 0.2500], [0.7500, 0.3750, 0.6250], [0.8750, 0.6250, 0.2500], [0.2500, 0.1250, 0.8750], [0.6250, 0.8750, 0.7500], [0.2500, 0.6250, 0.3750], [0.1250, 0.7500, 0.8750], [0.8750, 0.7500, 0.6250], [0.8750, 0.1250, 0.7500], [0.3750, 0.6250, 0.7500], [0.7500, 0.6250, 0.8750], [0.3750, 0.7500, 0.1250], [0.2500, 0.8750, 0.6250], [0.6250, 0.2500, 0.8750], [0.7500, 0.1250, 0.3750], [0.6250, 0.3750, 0.2500], [0.2500, 0.3750, 0.1250], [0.1250, 0.2500, 0.3750], [0.1250, 0.8750, 0.2500]], "total_energy_ev_per_cell": -927.5, "e_form_raw_mev_per_atom": -3154.0, "m_tot_mub_per_cell": 16.00}

No. 3
{"formula": "Cd6Pt7", "functional": "meta-GGA SCAN", "state": "PBEsol geometry", "lattice_angstrom": [[-4.0677, -2.6108, -2.4531], [-3.9689, -2.2167, 2.9520], [-7.3251, 6.0764, -0.3092]], "species": ["Cd", "Cd", "Cd", "Cd", "Cd", "Cd", "Pt", "Pt", "Pt", "Pt", "Pt", "Pt", "Pt"], "frac_coords": [[0.1563, 0.1563, 0.5310], [0.0512, 0.0512, 0.8464], [0.9488, 0.9488, 0.1536], [0.3342, 0.3342, 0.9975], [0.8437, 0.8437, 0.4690], [0.6658, 0.6658, 0.0025], [0.9162, 0.4107, 0.2623], [0.4107, 0.4107, 0.2623], [0.5000, 0.5000, 0.5000], [0.4107, 0.9162, 0.2623], [0.5893, 0.0838, 0.7377], [0.0838, 0.5893, 0.7377], [0.5893, 0.5893, 0.7377]], "total_energy_ev_per_cell": -677.3, "ef_ev_per_atom": -0.27, "m_tot_mub_per_cell": 0.00}

No. 4
{"formula": "ZnCd2Rh", "functional": "meta-GGA SCAN", "state": "PBEsol geometry", "lattice_angstrom": [[-0.2146, 3.8581, 0.5485], [-3.1335, -0.4974, 2.2729], [4.1981, -2.0240, 1.9940]], "species": ["Cd", "Cd", "Zn", "Rh"], "frac_coords": [[0.2500, 0.7500, 0.5000], [0.7500, 0.2500, 0.5000], [0.5000, 0.5000, 0.0000], [0.0000, 0.0000, 0.0000]], "total_energy_ev_per_cell": -108.6, "ef_ev_per_atom": -0.11, "m_tot_mub_per_cell": 0.00}

No. 5
{"formula": "LaSn", "functional": "meta-GGA SCAN", "state": "PBEsol geometry", "lattice_angstrom": [[-3.6108, -2.4495, -0.3180], [1.3109, -1.3649, -4.3711], [3.5689, -5.2769, 0.1228]], "species": ["Sn", "Sn", "La", "La"], "frac_coords": [[0.2500, 0.5863, 0.8275], [0.7500, 0.4137, 0.1725], [0.2500, 0.8635, 0.2729], [0.7500, 0.1365, 0.7271]], "total_energy_ev_per_cell": -161.9, "ef_ev_per_atom": -0.95, "m_tot_mub_per_cell": 0.00}

No. 6
{"formula": "MgSiW2", "functional": "meta-GGA SCAN", "state": "PBEsol geometry", "lattice_angstrom": [[2.7371, 0.0000, -0.0281], [0.0000, 4.3657, 0.0000], [-0.6965, 0.0000, 5.1316]], "species": ["W", "W", "Si", "Mg"], "frac_coords": [[0.2017, 0.0000, 0.2482], [0.7983, 0.0000, 0.7518], [0.0000, 0.5000, 0.5000], [0.5000, 0.5000, 0.0000]], "total_energy_ev_per_cell": -153.0, "e_form_raw_mev_per_atom": 332.0, "m_tot_mub_per_cell": 0.00}

No. 7
{"formula": "Li2Zn2Au", "functional": "meta-GGA SCAN", "state": "PBEsol geometry", "lattice_angstrom": [[3.4739, 0.0000, 0.0000], [0.0000, 3.4739, 0.0000], [-1.7369, -1.7369, 6.4715]], "species": ["Li", "Li", "Zn", "Zn", "Au"], "frac_coords": [[0.7500, 0.2500, 0.5000], [0.2500, 0.7500, 0.5000], [0.4020, 0.4020, 0.8041], [0.5980, 0.5980, 0.1959], [0.0000, 0.0000, 0.0000]], "total_energy_ev_per_cell": -101.2, "ef_ev_per_atom": -0.06, "m_tot_mub_per_cell": 0.00}

No. 8
{"formula": "AlSb2HI", "functional": "meta-GGA SCAN", "state": "PBEsol geometry", "lattice_angstrom": [[4.3704, 0.0000, 0.0000], [0.0000, 4.3704, 0.0000], [0.0000, 0.0000, 6.0590]], "species": ["Sb", "Sb", "I", "H", "Al"], "frac_coords": [[0.0000, 0.5000, 0.0000], [0.5000, 0.0000, 0.0000], [0.0000, 0.0000, 0.5000], [0.0000, 0.0000, 0.0000], [0.5000, 0.5000, 0.5000]], "total_energy_ev_per_cell": -119.6, "m_tot_mub_per_cell": 0.00}

No. 9
{"formula": "TiGeRu2Pt", "functional": "meta-GGA SCAN", "state": "PBEsol geometry", "lattice_angstrom": [[-2.0857, -0.5526, 3.9413], [0.9232, -4.6440, -0.1625], [4.0935, 0.7344, 2.2692]], "species": ["Ti", "Ge", "Ru", "Ru", "Pt"], "frac_coords": [[0.5000, 0.5000, 0.5000], [0.5000, 0.0000, 0.0000], [0.0000, 0.5000, 0.0000], [0.0000, 0.0000, 0.5000], [0.0000, 0.0000, 0.0000]], "total_energy_ev_per_cell": -168.9, "ef_ev_per_atom": 1.22, "m_tot_mub_per_cell": 3.38}

No. 10
{"formula": "MnFeSi", "functional": "meta-GGA SCAN", "state": "PBEsol geometry", "lattice_angstrom": [[3.8078, 0.0000, 0.0000], [1.9039, 3.2977, 0.0000], [1.9039, 1.0992, 3.1091]], "species": ["Fe", "Si", "Mn"], "frac_coords": [[0.0000, 0.0000, 0.0000], [0.2500, 0.2500, 0.2500], [0.5000, 0.5000, 0.5000]], "total_energy_ev_per_cell": -46.9, "e_form_raw_mev_per_atom": -166.7, "m_tot_mub_per_cell": 4.72}

No. 11
{"formula": "Na11W13O39", "functional": "meta-GGA SCAN", "state": "PBEsol geometry", "lattice_angstrom": [[-0.6824, -5.4397, 3.8553], [5.7950, -5.6505, -3.0599], [11.1421, 1.6787, 8.2272]], "species": ["O", "O", "O", "O", "O", "O", "O", "O", "O", "O", "O", "O", "O", "O", "O", "O", "O", "O", "O", "O", "O", "O", "O", "O", "O", "O", "O", "O", "O", "O", "O", "O", "O", "O", "O", "O", "O", "O", "O", "Na", "Na", "Na", "Na", "Na", "Na", "Na", "Na", "Na", "Na", "Na", "W", "W", "W", "W", "W", "W", "W", "W", "W", "W", "W", "W", "W"], "frac_coords": [[0.0416, 0.7314, 0.6530], [0.3431, 0.5762, 0.8857], [0.3041, 0.8479, 0.7304], [0.8457, 0.0771, 0.8844], [0.2688, 0.6179, 0.0756], [0.7700, 0.6150, 0.5754], [0.1157, 0.6919, 0.4617], [0.0000, 0.0000, 0.5000], [0.0805, 0.4596, 0.8081], [0.7310, 0.8846, 0.4232], [0.8843, 0.3081, 0.5383], [0.5000, 0.5000, 0.5000], [0.9640, 0.7703, 0.8470], [0.6147, 0.6928, 0.9633], [0.7312, 0.3821, 0.9244], [0.1913, 0.6563, 0.2696], [0.1921, 0.1538, 0.7693], [0.9584, 0.2686, 0.3470], [0.3467, 0.0747, 0.3860], [0.1152, 0.1925, 0.9616], [0.2300, 0.3850, 0.4246], [0.8079, 0.8462, 0.2307], [0.3853, 0.3072, 0.0367], [0.4208, 0.5374, 0.6916], [0.6569, 0.4238, 0.1143], [0.5000, 0.0000, 0.0000], [0.0360, 0.2297, 0.1530], [0.5792, 0.4626, 0.3084], [0.5760, 0.9638, 0.8079], [0.6959, 0.1521, 0.2696], [0.1543, 0.9229, 0.1156], [0.9195, 0.5404, 0.1919], [0.8848, 0.8075, 0.0384], [0.4240, 0.0362, 0.1921], [0.4616, 0.7694, 0.3459], [0.2690, 0.1154, 0.5768], [0.8087, 0.3437, 0.7304], [0.6533, 0.9253, 0.6140], [0.5384, 0.2306, 0.6541], [0.3865, 0.8062, 0.5403], [0.2341, 0.8828, 0.9222], [0.8495, 0.5756, 0.3829], [0.0000, 0.5000, 0.0000], [0.1505, 0.4244, 0.6171], [0.4628, 0.2727, 0.8461], [0.6135, 0.1938, 0.4597], [0.7659, 0.1172, 0.0778], [0.0782, 0.9647, 0.3071], [0.9218, 0.0353, 0.6929], [0.5372, 0.7273, 0.1539], [0.8073, 0.3464, 0.2303], [0.0398, 0.7287, 0.1540], [0.8845, 0.8067, 0.5398], [0.3465, 0.5759, 0.3838], [0.1927, 0.6536, 0.7697], [0.1155, 0.1933, 0.4602], [0.4236, 0.0366, 0.6925], [0.9602, 0.2713, 0.8460], [0.5000, 0.5000, 0.0000], [0.6535, 0.4241, 0.6162], [0.2693, 0.1168, 0.0777], [0.5764, 0.9634, 0.3075], [0.7307, 0.8832, 0.9223]], "total_energy_ev_per_cell": -1337.0, "e_form_raw_mev_per_atom": -2249.1, "m_tot_mub_per_cell": 0.00}

No. 12
{"formula": "LiTa3Zn", "functional": "meta-GGA SCAN", "state": "PBEsol geometry", "lattice_angstrom": [[-1.5640, -1.6978, -4.0816], [-2.2044, -3.4533, 2.2812], [-3.8318, 2.6796, 0.3537]], "species": ["Zn", "Ta", "Ta", "Ta", "Li"], "frac_coords": [[0.0000, 0.0000, 0.0000], [0.0000, 0.0000, 0.5000], [0.5000, 0.0000, 0.0000], [0.0000, 0.5000, 0.0000], [0.5000, 0.5000, 0.5000]], "total_energy_ev_per_cell": -208.0, "ef_ev_per_atom": 1.53, "m_tot_mub_per_cell": 0.00}

Which formula does entry 9 have? TiGeRu2Pt

Which formula does entry 11 have? Na11W13O39